# Na5VO4

Na5VO4 after structural relaxation (PBE+U, the Alexandria database).

Results
The symmetry is No. 59. For the total magnetic moment, the calculation gives 2.00 μB/f.u. The value obtained for the total DFT energy (no corrections) is -4.90 eV/atom.

POSCAR file:
```
Na5VO4
1.0
5.465 0.000 0.000
0.000 7.312 0.000
0.000 0.000 7.522
Na V O
10 2 8
Cartesian
4.450 0.000 3.761 Na
1.015 3.656 0.000 Na
1.404 5.400 5.217 Na
1.404 1.912 5.217 Na
1.404 1.912 2.305 Na
1.404 5.400 2.305 Na
4.061 1.744 1.456 Na
4.061 5.568 1.456 Na
4.061 1.744 6.066 Na
4.061 5.568 6.066 Na
4.263 3.656 3.761 V
1.202 0.000 0.000 V
5.311 3.656 5.428 O
5.311 3.656 2.094 O
0.154 0.000 1.667 O
0.154 0.000 5.855 O
3.236 1.999 3.761 O
3.236 5.313 3.761 O
2.229 1.657 0.000 O
2.229 5.655 0.000 O
```